1.
Entry from Alexandria: an optimized crystal structure of LaTaOs2W (PBE).

For the volume, the calculation gives 208 Å³/cell. The total energy comes out at -106.1 eV per cell. For the formation energy, the calculation gives -82 kJ/mol of formula units.

The structure belongs to space group I-4m2 (No. 119); the cell edges are 4.405, 4.405 and 10.739 Å and the angles 90.00°, 90.00° and 90.00°. Symmetry generates all atoms from La at (0.000, 0.000, 0.000), Ta at (0.000, 0.500, 0.250), Os at (0.000, 0.000, 0.376) and W at (0.000, 0.500, 0.750).



2.
Entry from Alexandria: an optimized crystal structure of Zn2In2I (PBE).

Its energy relative to the lowest polymorph listed for this composition is 0.023 eV per atom. For the volume, the calculation gives 258 Å³/cell. The total energy comes out at -18.5 eV per cell. Its uncorrected formation energy is 0.069 eV per atom.

The structure belongs to space group P4/mbm (No. 127); the cell edges are 8.326, 8.326 and 3.726 Å and the angles 90.00°, 90.00° and 90.00°. Symmetry generates all atoms from Zn at (0.110, 0.390, 0.000), In at (0.192, 0.692, 0.500) and I at (0.000, 0.000, 0.000).



3.
Entry from Alexandria: an optimized crystal structure of YMo2Os (PBE).

Its energy relative to the lowest polymorph listed for this composition is 0.262 eV per atom. For the volume, the calculation gives 69 Å³/cell. The total energy comes out at -37.6 eV per cell. For the formation energy, the calculation gives 172 kJ/mol of formula units.

The structure belongs to space group P4/mmm (No. 123); the cell edges are 4.639, 4.639 and 3.221 Å and the angles 90.00°, 90.00° and 90.00°. Symmetry generates all atoms from Y at (0.000, 0.000, 0.000), Mo at (0.000, 0.500, 0.500) and Os at (0.500, 0.500, 0.000).



| no. | spin magnetization (μB/f.u.) |
| --- | --- |
| 1 | 0.0 |
| 2 | 0.0 |
| 3 | 0.0 |